#w
{"formula": "Nb4Ga2H", "functional": "PBE", "state": "optimized geometry", "crystal_system": "monoclinic", "magmom_total_mub_per_cell": 0.00, "cell": [[-0.256, 0.644, -2.829], [-7.618, 0.469, 0.796], [2.500, 4.646, 0.832]], "species": ["Nb", "Nb", "Nb", "Nb", "Ga", "Ga", "H"], "fractional_positions": [[0.500, 0.916, 0.757], [0.000, 0.276, 0.892], [0.500, 0.227, 0.386], [0.000, 0.867, 0.251], [0.500, 0.574, 0.819], [0.500, 0.568, 0.324], [0.000, 0.071, 0.071]]}

=====

#x
{"formula": "Nb4Ga2H", "functional": "PBE", "state": "optimized geometry", "crystal_system": "tetragonal", "magmom_total_mub_per_cell": 0.00, "cell": [[-2.491, -2.724, -1.162], [2.864, -2.602, -0.038], [-1.233, -4.327, 6.345]], "species": ["H", "Nb", "Nb", "Nb", "Nb", "Ga", "Ga"], "fractional_positions": [[0.000, 0.000, 0.000], [0.176, 0.176, 0.648], [0.824, 0.824, 0.352], [0.000, 0.500, 0.000], [0.500, 0.000, 0.000], [0.359, 0.359, 0.281], [0.641, 0.641, 0.719]]}

=====

How do the energies compare? Relative to the most stable structure, in kJ/mol of atoms: #w 11.3; #x 0.0.

=====

#w
{"formula": "Nb2GaHRh", "functional": "PBE", "state": "optimized geometry", "crystal_system": "tetragonal", "magmom_total_mub_per_cell": 0.00, "cell": [[3.913, 0.000, 0.000], [0.000, 3.913, 0.000], [0.000, 0.000, 4.440]], "species": ["H", "Nb", "Nb", "Rh", "Ga"], "fractional_positions": [[0.000, 0.000, 0.000], [0.000, 0.500, 0.000], [0.500, 0.000, 0.000], [0.500, 0.500, 0.500], [0.000, 0.000, 0.500]]}

=====

#x
{"formula": "Nb2GaHRh", "functional": "PBE", "state": "optimized geometry", "crystal_system": "tetragonal", "magmom_total_mub_per_cell": 0.00, "cell": [[4.116, 0.000, 0.000], [0.000, 4.116, 0.000], [0.000, 0.000, 4.000]], "species": ["H", "Nb", "Nb", "Rh", "Ga"], "fractional_positions": [[0.000, 0.000, 0.000], [0.000, 0.500, 0.000], [0.500, 0.000, 0.000], [0.000, 0.000, 0.500], [0.500, 0.500, 0.500]]}

=====

How do the energies compare? Relative to the most stable structure, in kJ/mol of atoms: #w 10.3; #x 0.0.

=====

#w
{"formula": "Ta2NbGaH", "functional": "PBE", "state": "optimized geometry", "crystal_system": "tetragonal", "magmom_total_mub_per_cell": 0.00, "cell": [[3.988, 0.000, 0.000], [0.000, 3.988, 0.000], [0.000, 0.000, 4.587]], "species": ["H", "Nb", "Ga", "Ta", "Ta"], "fractional_positions": [[0.000, 0.000, 0.000], [0.500, 0.500, 0.500], [0.000, 0.000, 0.500], [0.000, 0.500, 0.000], [0.500, 0.000, 0.000]]}

=====

#x
{"formula": "Ta2NbGaH", "functional": "PBE", "state": "optimized geometry", "crystal_system": "tetragonal", "magmom_total_mub_per_cell": 0.00, "cell": [[-3.732, -0.983, -1.240], [1.496, -3.225, -1.948], [-0.556, -2.434, 3.602]], "species": ["H", "Nb", "Ga", "Ta", "Ta"], "fractional_positions": [[0.000, 0.000, 0.000], [0.000, 0.000, 0.500], [0.500, 0.500, 0.500], [0.000, 0.500, 0.000], [0.500, 0.000, 0.000]]}

=====

How do the energies compare? Relative to the most stable structure, in kJ/mol of atoms: #w 5.4; #x 0.0.

=====

#w
{"formula": "Nd3GaH", "functional": "PBE", "state": "optimized geometry", "crystal_system": "monoclinic", "magmom_total_mub_per_cell": 0.00, "cell": [[6.529, 0.000, 0.000], [0.000, 6.666, -0.045], [0.000, -1.029, 11.193]], "species": ["Nd", "Nd", "Nd", "Nd", "Nd", "Nd", "Nd", "Nd", "Nd", "Nd", "Nd", "Nd", "Ga", "Ga", "Ga", "Ga", "H", "H", "H", "H"], "fractional_positions": [[0.050, 0.921, 0.343], [0.950, 0.079, 0.657], [0.550, 0.079, 0.157], [0.450, 0.921, 0.843], [0.535, 0.784, 0.413], [0.465, 0.216, 0.587], [0.035, 0.216, 0.087], [0.965, 0.784, 0.913], [0.162, 0.603, 0.623], [0.838, 0.397, 0.377], [0.662, 0.397, 0.877], [0.338, 0.603, 0.123], [0.809, 0.644, 0.151], [0.191, 0.356, 0.849], [0.309, 0.356, 0.349], [0.691, 0.644, 0.651], [0.231, 0.918, 0.530], [0.769, 0.082, 0.470], [0.731, 0.082, 0.970], [0.269, 0.918, 0.030]]}

=====

#x
{"formula": "Nd3GaH", "functional": "PBE", "state": "optimized geometry", "crystal_system": "cubic", "magmom_total_mub_per_cell": 0.02, "cell": [[4.915, 0.000, 0.000], [0.000, 4.915, 0.000], [0.000, 0.000, 4.915]], "species": ["H", "Nd", "Nd", "Nd", "Ga"], "fractional_positions": [[0.000, 0.000, 0.000], [0.000, 0.500, 0.000], [0.000, 0.000, 0.500], [0.500, 0.000, 0.000], [0.500, 0.500, 0.500]]}

=====

How do the energies compare? Relative to the most stable structure, in kJ/mol of atoms: #w 0.0; #x 2.4.

=====

#w
{"formula": "GaNi3H", "functional": "PBE", "state": "optimized geometry", "crystal_system": "orthorhombic", "magmom_total_mub_per_cell": 0.00, "cell": [[-1.096, 1.674, -1.502], [-0.560, -4.361, -4.451], [-3.587, 1.917, 4.754]], "species": ["Ni", "Ni", "Ni", "Ga", "H"], "fractional_positions": [[0.500, 0.155, 0.328], [0.500, 0.672, 0.845], [0.000, 0.268, 0.732], [0.500, 0.094, 0.906], [0.000, 0.439, 0.561]]}

=====

#x
{"formula": "GaNi3H", "functional": "PBE", "state": "optimized geometry", "crystal_system": "cubic", "magmom_total_mub_per_cell": 0.00, "cell": [[4.356, 0.000, 0.000], [0.000, 4.356, 0.000], [0.000, 0.000, 4.356]], "species": ["Ni", "Ni", "Ni", "Ga", "H"], "fractional_positions": [[0.000, 0.500, 0.000], [0.000, 0.000, 0.500], [0.500, 0.000, 0.000], [0.000, 0.000, 0.000], [0.500, 0.500, 0.500]]}

=====

How do the energies compare? Relative to the most stable structure, in kJ/mol of atoms: #w 0.0; #x 103.5.

=====

#w
{"formula": "GaNi3H", "functional": "PBE", "state": "optimized geometry", "crystal_system": "tetragonal", "magmom_total_mub_per_cell": 0.00, "cell": [[4.210, 0.000, 0.000], [0.000, 4.210, 0.000], [2.105, 2.105, 8.536]], "species": ["Ni", "Ni", "Ni", "Ni", "Ni", "Ni", "Ga", "Ga", "H", "H"], "fractional_positions": [[0.117, 0.873, 0.253], [0.127, 0.883, 0.747], [0.127, 0.370, 0.747], [0.630, 0.873, 0.253], [0.351, 0.351, 0.298], [0.649, 0.649, 0.702], [0.000, 0.000, 0.000], [0.250, 0.750, 0.500], [0.640, 0.140, 0.720], [0.860, 0.360, 0.280]]}

=====

#x
{"formula": "GaNi3H", "functional": "PBE", "state": "optimized geometry", "crystal_system": "monoclinic", "magmom_total_mub_per_cell": 0.00, "cell": [[4.973, -0.001, -0.002], [-1.224, 4.984, -0.002], [-2.378, -1.949, 3.908]], "species": ["H", "H", "Ga", "Ga", "Ni", "Ni", "Ni", "Ni", "Ni", "Ni"], "fractional_positions": [[0.170, 0.766, 0.563], [0.882, 0.705, 0.789], [0.383, 0.442, 0.025], [0.933, 0.095, 0.129], [0.362, 0.936, 0.039], [0.445, 0.093, 0.614], [0.863, 0.936, 0.540], [0.864, 0.421, 0.523], [0.447, 0.588, 0.601], [0.953, 0.588, 0.107]]}

=====

How do the energies compare? Relative to the most stable structure, in kJ/mol of atoms: #w 76.2; #x 0.0.

=====

#w
{"formula": "GaNiH", "functional": "PBE", "state": "optimized geometry", "crystal_system": "trigonal", "magmom_total_mub_per_cell": 0.00, "cell": [[2.989, 0.000, 0.000], [-1.494, 2.588, 0.000], [0.000, 0.000, 3.793]], "species": ["Ni", "Ga", "H"], "fractional_positions": [[0.667, 0.333, 0.499], [0.000, 0.000, 0.999], [0.333, 0.667, 0.502]]}

=====

#x
{"formula": "GaNiH", "functional": "PBE", "state": "optimized geometry", "crystal_system": "tetragonal", "magmom_total_mub_per_cell": 0.00, "cell": [[-0.085, -0.923, -2.871], [2.992, -0.380, 0.034], [-1.913, -2.866, 2.563]], "species": ["Ni", "Ga", "H"], "fractional_positions": [[0.577, 0.577, 0.154], [0.903, 0.903, 0.806], [0.370, 0.370, 0.739]]}

=====

#y
{"formula": "GaNiH", "functional": "PBE", "state": "optimized geometry", "crystal_system": "orthorhombic", "magmom_total_mub_per_cell": 0.00, "cell": [[-4.320, -2.272, 1.049], [2.297, -4.679, -0.677], [2.211, -0.176, 8.722]], "species": ["Ni", "Ni", "Ni", "Ni", "Ni", "Ni", "Ni", "Ni", "Ga", "Ga", "Ga", "Ga", "Ga", "Ga", "Ga", "Ga", "H", "H", "H", "H", "H", "H", "H", "H"], "fractional_positions": [[0.734, 0.099, 0.812], [0.266, 0.901, 0.188], [0.766, 0.599, 0.188], [0.266, 0.401, 0.312], [0.234, 0.401, 0.812], [0.734, 0.599, 0.688], [0.234, 0.901, 0.688], [0.766, 0.099, 0.312], [0.003, 0.260, 0.549], [0.997, 0.740, 0.451], [0.497, 0.760, 0.451], [0.997, 0.240, 0.049], [0.503, 0.240, 0.549], [0.003, 0.760, 0.951], [0.503, 0.740, 0.951], [0.497, 0.260, 0.049], [0.890, 0.392, 0.805], [0.110, 0.608, 0.195], [0.610, 0.892, 0.195], [0.110, 0.108, 0.305], [0.390, 0.108, 0.805], [0.890, 0.892, 0.695], [0.390, 0.608, 0.695], [0.610, 0.392, 0.305]]}

=====

How do the energies compare? Relative to the most stable structure, in kJ/mol of atoms: #w 1.6; #x 24.7; #y 0.0.

=====

#w
{"formula": "GaNiH3", "functional": "PBE", "state": "optimized geometry", "crystal_system": "cubic", "magmom_total_mub_per_cell": 0.00, "cell": [[-3.330, -0.810, 0.119], [0.751, -2.822, 1.798], [-0.327, 1.772, 2.917]], "species": ["Ni", "Ga", "H", "H", "H"], "fractional_positions": [[0.000, 0.000, 0.000], [0.500, 0.500, 0.500], [0.000, 0.500, 0.000], [0.000, 0.000, 0.500], [0.500, 0.000, 0.000]]}

=====

#x
{"formula": "GaNiH3", "functional": "PBE", "state": "optimized geometry", "crystal_system": "cubic", "magmom_total_mub_per_cell": 0.32, "cell": [[3.528, 0.000, 0.000], [0.000, 3.528, 0.000], [0.000, 0.000, 3.528]], "species": ["Ni", "Ga", "H", "H", "H"], "fractional_positions": [[0.500, 0.500, 0.500], [0.000, 0.000, 0.000], [0.000, 0.500, 0.000], [0.000, 0.000, 0.500], [0.500, 0.000, 0.000]]}

=====

How do the energies compare? Relative to the most stable structure, in kJ/mol of atoms: #w 0.0; #x 52.6.

=====

#w
{"formula": "Ga2NiH2", "functional": "PBE", "state": "optimized geometry", "crystal_system": "tetragonal", "magmom_total_mub_per_cell": 0.00, "cell": [[-3.029, -3.749, -1.655], [-1.548, -0.859, 4.779], [-3.012, 2.653, -0.499]], "species": ["Ni", "Ni", "Ga", "Ga", "Ga", "Ga", "H", "H", "H", "H"], "fractional_positions": [[0.000, 0.000, 0.000], [0.500, 0.500, 0.000], [0.190, 0.690, 0.500], [0.690, 0.810, 0.500], [0.810, 0.310, 0.500], [0.310, 0.190, 0.500], [0.223, 0.723, 0.000], [0.723, 0.777, 0.000], [0.777, 0.277, 0.000], [0.277, 0.223, 0.000]]}

=====

#x
{"formula": "Ga2NiH2", "functional": "PBE", "state": "optimized geometry", "crystal_system": "tetragonal", "magmom_total_mub_per_cell": 0.00, "cell": [[-0.073, -0.296, -2.789], [-2.378, -1.473, 0.219], [-4.540, 4.397, -1.758]], "species": ["Ni", "Ga", "Ga", "H", "H"], "fractional_positions": [[0.000, 0.000, 0.000], [0.372, 0.372, 0.255], [0.628, 0.628, 0.745], [0.750, 0.250, 0.500], [0.250, 0.750, 0.500]]}

=====

How do the energies compare? Relative to the most stable structure, in kJ/mol of atoms: #w 0.0; #x 4.9.

=====

#w
{"formula": "GaNi2HRu", "functional": "PBE", "state": "optimized geometry", "crystal_system": "tetragonal", "magmom_total_mub_per_cell": 0.00, "cell": [[-3.270, -1.637, -0.192], [0.805, -1.216, -3.359], [1.525, -3.227, 1.534]], "species": ["Ru", "H", "Ga", "Ni", "Ni"], "fractional_positions": [[0.000, 0.000, 0.500], [0.000, 0.000, 0.000], [0.500, 0.500, 0.500], [0.000, 0.500, 0.000], [0.500, 0.000, 0.000]]}

=====

#x
{"formula": "GaNi2HRu", "functional": "PBE", "state": "optimized geometry", "crystal_system": "tetragonal", "magmom_total_mub_per_cell": 0.01, "cell": [[3.573, 0.000, 0.000], [0.000, 3.573, 0.000], [0.000, 0.000, 4.113]], "species": ["Ru", "H", "Ga", "Ni", "Ni"], "fractional_positions": [[0.500, 0.500, 0.500], [0.000, 0.000, 0.000], [0.000, 0.000, 0.500], [0.000, 0.500, 0.000], [0.500, 0.000, 0.000]]}

=====

How do the energies compare? Relative to the most stable structure, in kJ/mol of atoms: #w 0.0; #x 17.1.

=====

#w
{"formula": "ScGaNi2H", "functional": "PBE", "state": "optimized geometry", "crystal_system": "orthorhombic", "magmom_total_mub_per_cell": 0.00, "cell": [[3.259, 0.000, 0.000], [-1.630, 5.329, 0.000], [0.000, 0.000, 7.025]], "species": ["Sc", "Sc", "Ga", "Ga", "Ni", "Ni", "Ni", "Ni", "H", "H"], "fractional_positions": [[0.473, 0.947, 0.750], [0.527, 0.053, 0.250], [0.749, 0.498, 0.750], [0.251, 0.502, 0.250], [0.147, 0.293, 0.946], [0.853, 0.707, 0.054], [0.147, 0.293, 0.554], [0.853, 0.707, 0.446], [0.000, 0.000, 0.000], [0.000, 0.000, 0.500]]}

=====

#x
{"formula": "ScGaNi2H", "functional": "PBE", "state": "optimized geometry", "crystal_system": "tetragonal", "magmom_total_mub_per_cell": 0.11, "cell": [[3.871, 0.000, 0.000], [0.000, 3.871, 0.000], [0.000, 0.000, 3.958]], "species": ["Sc", "Ni", "Ni", "Ga", "H"], "fractional_positions": [[0.000, 0.000, 0.500], [0.000, 0.500, 0.000], [0.500, 0.000, 0.000], [0.500, 0.500, 0.500], [0.000, 0.000, 0.000]]}

=====

How do the energies compare? Relative to the most stable structure, in kJ/mol of atoms: #w 0.0; #x 17.4.

=====

#w
{"formula": "VGaNi2H", "functional": "PBE", "state": "optimized geometry", "crystal_system": "tetragonal", "magmom_total_mub_per_cell": 2.33, "cell": [[3.706, 0.000, 0.000], [0.000, 3.706, 0.000], [0.000, 0.000, 3.793]], "species": ["Ni", "Ni", "H", "Ga", "V"], "fractional_positions": [[0.000, 0.500, 0.000], [0.500, 0.000, 0.000], [0.000, 0.000, 0.000], [0.500, 0.500, 0.500], [0.000, 0.000, 0.500]]}

=====

#x
{"formula": "VGaNi2H", "functional": "PBE", "state": "optimized geometry", "crystal_system": "tetragonal", "magmom_total_mub_per_cell": 0.00, "cell": [[-2.055, 0.271, 4.046], [-2.079, -2.009, -0.922], [2.597, -3.396, 1.546]], "species": ["Ni", "Ni", "H", "Ga", "V"], "fractional_positions": [[0.000, 0.000, 0.500], [0.500, 0.000, 0.000], [0.000, 0.500, 0.000], [0.000, 0.000, 0.000], [0.500, 0.500, 0.500]]}

=====

How do the energies compare? Relative to the most stable structure, in kJ/mol of atoms: #w 0.0; #x 86.0.